(1)
# MgWAu GGA-PBE relaxed
# - ΔE_f (eV per atom) = 0.18
# - E above lowest polymorph (eV/atom) = 0.000
# - calculated volume (A^3/atom) = 17.07
# - space-group type = I4mm, No. 107
data_MgWAu
_space_group_name_H-M_alt 'P 1'
_space_group_IT_number 1
_cell_length_a 6.885
_cell_length_b 6.884
_cell_length_c 2.786
_cell_angle_alpha 78.34
_cell_angle_beta 78.31
_cell_angle_gamma 23.35
loop_
_space_group_symop_operation_xyz
'x,y,z'
loop_
_atom_site_label
_atom_site_fract_x
_atom_site_fract_y
_atom_site_fract_z
Au1 0.000 0.000 0.000
Mg1 0.334 0.334 0.666
W1 0.666 0.666 0.334

***

(2)
# Rb4U3CrSe8 GGA-PBE relaxed
# - calculated volume (A^3/atom) = 30.59
# - space-group type = R-3m, No. 166
# - raw formation energy (eV per atom) = -1.1008
data_Rb4U3CrSe8
_space_group_name_H-M_alt 'P 1'
_space_group_IT_number 1
_cell_length_a 8.388
_cell_length_b 9.380
_cell_length_c 8.390
_cell_angle_alpha 116.58
_cell_angle_beta 119.99
_cell_angle_gamma 90.00
loop_
_space_group_symop_operation_xyz
'x,y,z'
loop_
_atom_site_label
_atom_site_fract_x
_atom_site_fract_y
_atom_site_fract_z
Rb1 0.500 0.000 0.000
Rb2 0.500 0.000 0.500
Rb3 0.000 0.000 0.000
Rb4 0.000 0.000 0.500
U1 0.500 0.500 0.000
U2 0.500 0.500 0.500
U3 0.000 0.500 0.500
Cr1 0.000 0.500 0.000
Se1 0.227 0.691 0.964
Se2 0.227 0.692 0.455
Se3 0.266 0.299 0.533
Se4 0.737 0.691 0.964
Se5 0.263 0.309 0.036
Se6 0.734 0.701 0.467
Se7 0.773 0.308 0.545
Se8 0.773 0.309 0.036